<a>
Here is a PBEsol-optimized structure of KCoRh2 from the Alexandria database. Energies are from meta-GGA SCAN.

Cell lengths 2.7235, 2.7235, 28.5990 Å; angles 90.00, 90.00, 120.00 degrees
With the nearest neighbours (Å) after each atom.
Space group R-3m (No. 166, hexagonal axes)
Inequivalent atoms, fractional coordinates:
1 K 0.0000 0.0000 0.0000  6 K 2.72
2 Co 0.0000 0.0000 0.5000  6 Rh 2.54, 6 Co 2.72
3 Rh 0.0000 0.0000 0.2362  3 Co 2.54, 6 Rh 2.72

Values from the calculation:
D(E_F), states/eV/f.u.: 2.4



<b>
Here is a PBEsol-optimized structure of KCoRh2 from the Alexandria database. Energies are from meta-GGA SCAN.

Cell lengths 2.6485, 4.9070, 9.8096 Å; angles 90.00, 90.00, 90.00 degrees
With the nearest neighbours (Å) after each atom.
Space group Immm (No. 71)
Inequivalent atoms, fractional coordinates:
1 K 0.0000 0.0000 0.0000  2 K 2.65, 4 Co 2.79
2 Co 0.0000 0.0000 0.5000  4 Rh 2.48, 2 Co 2.65
3 Rh 0.0000 0.5000 0.2140  2 Co 2.48, 2 Rh 2.65

Values from the calculation:
D(E_F), states/eV/f.u.: 3.0



<c>
Here is a PBEsol-optimized structure of KCoRh2 from the Alexandria database. Energies are from meta-GGA SCAN.

Cell lengths 4.7354, 4.7354, 2.7510 Å; angles 90.00, 90.00, 90.00 degrees
With the nearest neighbours (Å) after each atom.
Space group P4/mmm (No. 123)
Inequivalent atoms, fractional coordinates:
1 K 0.0000 0.0000 0.0000  8 Rh 2.74, 2 K 2.75
2 Co 0.5000 0.5000 0.0000  8 Rh 2.74, 2 Co 2.75
3 Rh 0.0000 0.5000 0.5000  4 K 2.74, 4 Co 2.74, 2 Rh 2.75

Values from the calculation:
D(E_F), states/eV/f.u.: 4.0



From most stable to least stable, the computed energies give <a>, <b>, <c>.



<a>
Here is a PBEsol-optimized structure of KCoRu2 from the Alexandria database. Energies are from meta-GGA SCAN.

Cell lengths 2.8588, 2.8588, 8.2025 Å; angles 90.00, 90.00, 90.00 degrees
With the nearest neighbours (Å) after each atom.
Space group P4/mmm (No. 123)
Inequivalent atoms, fractional coordinates:
1 K 0.0000 0.0000 0.0000  4 K 2.86
2 Co 0.0000 0.0000 0.5000  8 Ru 2.43
3 Ru 0.5000 0.5000 0.3358  4 Co 2.43, 1 Ru 2.69

Values from the calculation:
D(E_F), states/eV/f.u.: 4.0



<b>
Here is a PBEsol-optimized structure of KCoRu2 from the Alexandria database. Energies are from meta-GGA SCAN.

Cell lengths 2.7755, 4.4928, 9.7716 Å; angles 90.00, 90.00, 90.00 degrees
With the nearest neighbours (Å) after each atom.
Space group Cmmm (No. 65)
Inequivalent atoms, fractional coordinates:
1 K 0.0000 0.0000 0.0000  6 K 2.64-2.78
2 Co 0.0000 0.0000 0.5000  4 Ru 2.46, 4 Co 2.64
3 Ru 0.0000 0.5000 0.2922  2 Co 2.46, 4 Ru 2.64

Values from the calculation:
D(E_F), states/eV/f.u.: 3.5



From most stable to least stable, the computed energies give <b>, <a>.



<a>
Here is a PBEsol-optimized structure of KSc2Co from the Alexandria database. Energies are from meta-GGA SCAN.

Cell lengths 3.1464, 3.1464, 33.1608 Å; angles 90.00, 90.00, 120.00 degrees
With the nearest neighbours (Å) after each atom.
Space group R-3m (No. 166, hexagonal axes)
Inequivalent atoms, fractional coordinates:
1 K 0.0000 0.0000 0.0000  6 K 3.15
2 Sc 0.0000 0.0000 0.4337  1 Co 2.20
3 Co 0.0000 0.0000 0.5000  2 Sc 2.20

Values from the calculation:
D(E_F), states/eV/f.u.: 3.9



<b>
Here is a PBEsol-optimized structure of KSc2Co from the Alexandria database. Energies are from meta-GGA SCAN.

Cell lengths 3.6371, 3.6371, 30.0153 Å; angles 90.00, 90.00, 120.00 degrees
With the nearest neighbours (Å) after each atom.
Space group R-3m (No. 166, hexagonal axes)
Inequivalent atoms, fractional coordinates:
1 K 0.0000 0.0000 0.0000  6 K 3.64, 2 Sc 3.72
2 Sc 0.0000 0.0000 0.1240  3 Co 2.46
3 Co 0.0000 0.0000 0.5000  6 Sc 2.46

Values from the calculation:
D(E_F), states/eV/f.u.: 2.5



From most stable to least stable, the computed energies give <b>, <a>.



<a>
Here is a PBEsol-optimized structure of K2TaCo from the Alexandria database. Energies are from meta-GGA SCAN.

Cell lengths 3.7038, 3.7038, 5.9576 Å; angles 90.00, 90.00, 90.00 degrees
With the nearest neighbours (Å) after each atom.
Space group P4/mmm (No. 123)
Inequivalent atoms, fractional coordinates:
1 K 0.0000 0.5000 0.0000  4 K 2.62
2 Ta 0.0000 0.0000 0.5000  4 Co 2.62
3 Co 0.5000 0.5000 0.5000  4 Ta 2.62

Values from the calculation:
D(E_F), states/eV/f.u.: 2.0



<b>
Here is a PBEsol-optimized structure of K2TaCo from the Alexandria database. Energies are from meta-GGA SCAN.

Cell lengths 5.3169, 11.8230, 2.7327 Å; angles 90.00, 90.00, 90.00 degrees
With the nearest neighbours (Å) after each atom.
Space group Cmmm (No. 65)
Inequivalent atoms, fractional coordinates:
1 K 0.2500 0.2500 0.0000  4 K 2.66-2.73
2 Ta 0.0000 0.0000 0.5000  2 Co 2.66, 2 Ta 2.73
3 Co 0.0000 0.5000 0.5000  2 Ta 2.66, 2 Co 2.73

Values from the calculation:
D(E_F), states/eV/f.u.: 2.9



<c>
Here is a PBEsol-optimized structure of K2TaCo from the Alexandria database. Energies are from meta-GGA SCAN.

Cell lengths 7.7327, 7.7327, 7.7327 Å; angles 90.00, 90.00, 90.00 degrees
With the nearest neighbours (Å) after each atom.
Space group Fm-3m (No. 225)
Inequivalent atoms, fractional coordinates:
1 K 0.2500 0.2500 0.2500  4 Ta 3.35, 4 Co 3.35
2 Ta 0.0000 0.0000 0.0000  8 K 3.35
3 Co 0.0000 0.0000 0.5000  8 K 3.35

Values from the calculation:
D(E_F), states/eV/f.u.: 11.9



From most stable to least stable, the computed energies give <a>, <b>, <c>.